# RhSI3 (PBE, optimized geometry)
# E above lowest polymorph ... 0 meV/atom
# Crystal system ... cubic
# Raw formation energy ... 0.5907 eV/atom
# DOS(E_F) ... 7.1 states/eV/cell
# Spin magnetization ... 2.27 μB/f.u.
data_RhSI3
_cell_length_a 5.392
_cell_length_b 5.392
_cell_length_c 5.392
_cell_angle_alpha 90.00
_cell_angle_beta 90.00
_cell_angle_gamma 90.00
_symmetry_space_group_name_H-M 'P m -3 m'
_symmetry_Int_Tables_number 221
_symmetry_space_group_name_Hall '-P 4 2 3'
loop_
_atom_site_label
_atom_site_type_symbol
_atom_site_fract_x
_atom_site_fract_y
_atom_site_fract_z
Rh1 Rh 0.000 0.000 0.000
S1 S 0.500 0.500 0.500
I1 I 0.000 0.000 0.500

---

# CsSr2MgF8 (PBE, optimized geometry)
# Crystal system ... monoclinic
# Raw formation energy ... -3.2119 eV/atom
# DOS(E_F) ... 10.1 states/eV/cell
# Spin magnetization ... 0.12 μB/f.u.
data_CsSr2MgF8
_cell_length_a 4.332
_cell_length_b 8.509
_cell_length_c 5.559
_cell_angle_alpha 90.00
_cell_angle_beta 99.42
_cell_angle_gamma 90.00
_symmetry_space_group_name_H-M 'P 1 2/m 1'
_symmetry_Int_Tables_number 10
loop_
_symmetry_equiv_pos_as_xyz
'x,y,z'
'-x,-y,-z'
'-x,y,-z'
'x,-y,z'
loop_
_atom_site_label
_atom_site_type_symbol
_atom_site_fract_x
_atom_site_fract_y
_atom_site_fract_z
Cs1 Cs 0.000 0.000 0.000
Sr1 Sr 0.500 0.278 0.500
Mg1 Mg 0.000 0.500 0.000
F1 F 0.058 0.310 0.762
F2 F 0.390 0.000 0.667
F3 F 0.411 0.500 0.223

---

# MgNi5B2 (PBE, optimized geometry)
# Formation enthalpy at 0 K ... -0.26 eV per atom
# Crystal system ... orthorhombic
# DOS(E_F) ... 4.5 states/eV/cell
# Spin magnetization ... 0.00 μB/f.u.
data_MgNi5B2
_cell_length_a 3.284
_cell_length_b 5.518
_cell_length_c 9.410
_cell_angle_alpha 90.00
_cell_angle_beta 90.00
_cell_angle_gamma 90.00
_symmetry_space_group_name_H-M 'I m m m'
_symmetry_Int_Tables_number 71
_symmetry_space_group_name_Hall '-I 2 2'
loop_
_atom_site_label
_atom_site_type_symbol
_atom_site_fract_x
_atom_site_fract_y
_atom_site_fract_z
Mg1 Mg 0.000 0.000 0.000
Ni1 Ni 0.000 0.219 0.347
Ni2 Ni 0.000 0.500 0.000
B1 B 0.000 0.500 0.212

---

| no. | VASP energy (eV per formula unit) |
| --- | --- |
| 1 | -13.2 |
| 2 | -59.3 |
| 3 | -45.9 |